Cs2Rb8HgAu3 after structural relaxation, computed with GGA-PBE.

Cell: 8.9735 8.9735 13.8073 Å, 71.04 71.04 60.00°
Fractional positions:
Rb 0.7515 0.7515 0.7454
Hg 0.8529 0.8529 0.4412
Au 0.8884 0.5596 0.9923
Cs 0.4884 0.4884 0.5349
Rb 0.7653 0.2688 0.2006
Rb 0.7653 0.7653 0.2006
Rb 0.2036 0.2036 0.8705
Au 0.5596 0.8884 0.9923
Cs 0.1687 0.1687 0.4940
Rb 0.2688 0.7653 0.2006
Rb 0.2947 0.2947 0.1160
Rb 0.7222 0.2036 0.8705
Au 0.5596 0.5596 0.9923
Rb 0.2036 0.7222 0.8705

Computed properties:
As for the space group: R3m (160). The formation energy is -11.60 kJ per mole of atoms.

MgZnAs2 after structural relaxation, computed with GGA-PBE.

Cell: 9.6064 9.6064 9.6064 Å, 18.57 18.57 18.57°
Fractional positions:
Zn 0.7499 0.7499 0.7499
As 0.2398 0.2398 0.2398
Mg 0.4976 0.4976 0.4976
As 0.0127 0.0127 0.0127

Computed properties:
As for the space group: R3m (160). Its energy above the most stable polymorph in this dataset is 249 meV/atom. The formation energy is 14.34 kJ per mole of atoms.

InB3As after structural relaxation, computed with GGA-PBE.

Cell: 4.4760 4.4760 4.4760 Å, 90.00 90.00 90.00°
Fractional positions:
B 0.0000 0.5000 0.0000
As 0.5000 0.5000 0.5000
In 0.0000 0.0000 0.0000
B 0.5000 0.0000 0.0000
B 0.0000 0.0000 0.5000

Computed properties:
As for the space group: Pm-3m (221). Its energy above the most stable polymorph in this dataset is 625 meV/atom. The formation energy is 224.40 kJ per mole of atoms.

RbTlCl2 after structural relaxation, computed with GGA-PBE.

Cell: 5.5735 5.5735 5.5735 Å, 60.00 60.00 60.00°
Fractional positions:
Rb 0.0000 0.0000 0.0000
Cl 0.7500 0.7500 0.7500
Tl 0.5000 0.5000 0.5000
Cl 0.2500 0.2500 0.2500

Computed properties:
As for the space group: Fm-3m (225). Its energy above the most stable polymorph in this dataset is 55 meV/atom. The calculation puts the formation energy (no corrections) at -5.70 eV per formula unit.

no.,magnetization (μB/cell),E_tot (eV/atom)
1,0.0,-1.52
2,0.0,-2.89
3,0.0,-3.16
4,0.0,-3.18